1.
# PuZrAuO6

An optimized crystal structure of PuZrAuO6 (GGA-PBE, Alexandria).

Unit cell a=5.627 b=5.627 c=9.609 alpha=90.00 beta=90.00 gamma=120.00
Last column: magnetic moment on the atom in μB.
Atoms (fractional coordinates):
1 Au 0.000 0.000 0.000  -0.17
2 Au 0.000 0.000 0.500  -0.17
3 Zr 0.667 0.333 0.750  -0.01
4 Zr 0.333 0.667 0.250  -0.01
5 O 0.372 0.012 0.139  -0.07
6 O 0.360 0.988 0.639  -0.07
7 O 0.640 0.012 0.361  -0.07
8 O 0.640 0.628 0.139  -0.07
9 O 0.988 0.628 0.361  -0.07
10 O 0.372 0.360 0.361  -0.07
11 O 0.628 0.988 0.861  -0.07
12 O 0.988 0.360 0.139  -0.07
13 O 0.012 0.372 0.639  -0.07
14 O 0.012 0.640 0.861  -0.07
15 O 0.628 0.640 0.639  -0.07
16 O 0.360 0.372 0.861  -0.07
17 Pu 0.667 0.333 0.250  1.60
18 Pu 0.333 0.667 0.750  1.60

Calculated values
As for the density of states at the Fermi level: 3.7 states/eV/f.u. The total magnetic moment comes out at 1.9 μB per cell. The space group is No. 163. The calculation puts the total energy at -8.232 eV per atom.


2.
# SmEr2Ru9

An optimized crystal structure of SmEr2Ru9 (GGA-PBE, Alexandria).

Unit cell a=5.280 b=5.280 c=9.191 alpha=73.31 beta=73.31 gamma=60.00
Atoms (fractional coordinates):
1 Ru 0.072 0.589 0.749
2 Ru 0.500 0.500 0.500
3 Ru 0.589 0.072 0.749
4 Ru 0.411 0.411 0.251
5 Ru 0.928 0.411 0.251
6 Ru 0.662 0.662 0.015
7 Ru 0.411 0.928 0.251
8 Ru 0.589 0.589 0.749
9 Ru 0.338 0.338 0.985
10 Er 0.140 0.140 0.581
11 Er 0.860 0.860 0.419
12 Sm 0.000 0.000 0.000

Calculated values
Its formation energy is -13.29 kJ/mol of atoms. As for the density of states at the Fermi level: 17.2 states/eV/f.u. The total magnetic moment comes out at 0.0 μB per cell. The space group is No. 166.


3.
# KSb2TeRu

An optimized crystal structure of KSb2TeRu (GGA-PBE, Alexandria).

Unit cell a=5.061 b=5.061 c=6.084 alpha=90.00 beta=90.00 gamma=90.00
Atoms (fractional coordinates):
1 Ru 0.000 0.000 0.000
2 Sb 0.500 0.000 0.000
3 Sb 0.000 0.500 0.000
4 K 0.500 0.500 0.500
5 Te 0.000 0.000 0.500

Calculated values
As for the energy above the lowest structure with this stoichiometry: 0.000 eV/atom. As for the density of states at the Fermi level: 6.8 states/eV/f.u. The total magnetic moment comes out at 0.0 μB per cell. The space group is No. 123.


4.
# SrLiAlCu

An optimized crystal structure of SrLiAlCu (GGA-PBE, Alexandria).

Unit cell a=4.412 b=4.410 c=6.002 alpha=111.51 beta=90.00 gamma=120.01
Atoms (fractional coordinates):
1 Sr 0.612 0.224 0.477
2 Al 0.130 0.260 0.033
3 Li 0.418 0.836 0.896
4 Cu 0.807 0.613 0.062

Calculated values
Its formation energy is -16.62 kJ/mol of atoms. As for the energy above the lowest structure with this stoichiometry: 0.000 eV/atom. As for the density of states at the Fermi level: 2.1 states/eV/f.u. The total magnetic moment comes out at 0.0 μB per cell. The space group is No. 160.


Question: Number 4 is which compound?
Answer: SrLiAlCu


Question: What is the formula in the second record?
Answer: SmEr2Ru9